[1]
The following is a DFT calculation (PBE-GGA) of a geometry-optimized K2ZnP4H8O15 structure.

It has space group C2/m (No. 12), with a = 9.274 Å, b = 12.107 Å, c = 6.667 Å, α = 90.00°, β = 104.36° and γ = 90.00°. The inequivalent atoms are K at (0.207, 0.000, 0.084), Zn at (0.000, 0.000, 0.500), P at (0.012, 0.243, 0.671), H at (0.199, 0.434, 0.392), H at (0.242, 0.249, 0.241), O at (0.000, 0.500, 0.000), O at (0.011, 0.121, 0.731), O at (0.109, 0.315, 0.276), O at (0.168, 0.298, 0.774) and O at (0.244, 0.000, 0.543).

The raw total energy is -5.71 eV per atom.

***

[2]
The following is a DFT calculation (PBE-GGA) of a geometry-optimized PmB3H12 structure.

It has space group R-3c (No. 167, hexagonal axes), with a = 7.9512 Å, b = 7.9512 Å, c = 19.5796 Å, α = 90.00°, β = 90.00° and γ = 120.00°. The inequivalent atoms are Pm at (0.0000, 0.0000, 0.0000), B at (0.0000, 0.4989, 0.2500), H at (0.0032, 0.1923, 0.5934) and H at (0.0178, 0.4187, 0.6996).

The raw total energy is -4.38 eV per atom. The density of states at the Fermi level comes out at 0.00 states/eV per cell.

***

[3]
The following is a DFT calculation (PBE-GGA) of a geometry-optimized Mo2RuN structure.

It has space group P-6m2 (No. 187), with a = 2.8320 Å, b = 2.8320 Å, c = 7.3102 Å, α = 90.00°, β = 90.00° and γ = 120.00°. The inequivalent atoms are Mo at (0.0000, 0.0000, 0.1952), Ru at (0.6667, 0.3333, 0.5000) and N at (0.3333, 0.6667, 0.0000).

The uncorrected formation energy is -151 meV per atom. The density of states at the Fermi level comes out at 2.63 states/eV per cell.

***

[4]
The following is a DFT calculation (PBE-GGA) of a geometry-optimized Li8Ca3Mg structure.

It has space group I-42m (No. 121), with a = 8.410 Å, b = 8.410 Å, c = 10.103 Å, α = 90.00°, β = 90.00° and γ = 90.00°. The inequivalent atoms are Li at (0.135, 0.135, 0.281), Li at (0.225, 0.225, 0.550), Ca at (0.000, 0.000, 0.000), Ca at (0.000, 0.500, 0.250) and Mg at (0.000, 0.000, 0.500).

The value obtained for the formation energy is 0.2296 eV/atom. The density of states at the Fermi level comes out at 17.27 states/eV per cell.

***

[5]
The following is a DFT calculation (PBE-GGA) of a geometry-optimized Sr2CrRu structure.

It has space group Imm2 (No. 44), with a = 4.004 Å, b = 5.313 Å, c = 10.633 Å, α = 90.00°, β = 90.00° and γ = 90.00°. The inequivalent atoms are Sr at (0.000, 0.000, 0.000), Sr at (0.000, 0.500, 0.210), Cr at (0.000, 0.500, 0.803) and Ru at (0.000, 0.000, 0.410).

The value obtained for the formation energy is 0.4477 eV/atom. The density of states at the Fermi level comes out at 7.44 states/eV per cell.

***

[6]
The following is a DFT calculation (PBE-GGA) of a geometry-optimized CaTlAg2 structure.

It has space group Immm (No. 71), with a = 3.248 Å, b = 5.291 Å, c = 11.923 Å, α = 90.00°, β = 90.00° and γ = 90.00°. The inequivalent atoms are Ca at (0.000, 0.000, 0.000), Tl at (0.000, 0.000, 0.500) and Ag at (0.000, 0.000, 0.259).

The value obtained for the formation energy is 0.1521 eV/atom. The density of states at the Fermi level comes out at 5.11 states/eV per cell.